Run A
TlGa2Pt2 after structural relaxation. Source: the Alexandria database, functional PBE.

The structure belongs to space group P4/mbm (No. 127); the cell edges are 7.9115, 7.9115 and 2.8615 Å and the angles 90.00°, 90.00° and 90.00°. The asymmetric unit holds Tl at (0.0000, 0.0000, 0.0000), Ga at (0.1469, 0.3531, 0.5000) and Pt at (0.1457, 0.6457, 0.0000).

Run B
TlGa2Pt2 after structural relaxation. Source: the Alexandria database, functional PBE.

The structure belongs to space group I4/mmm (No. 139); the cell edges are 3.9916, 3.9916 and 12.0489 Å and the angles 90.00°, 90.00° and 90.00°. The asymmetric unit holds Tl at (0.0000, 0.0000, 0.0000), Ga at (0.0000, 0.5000, 0.2500) and Pt at (0.0000, 0.0000, 0.3820).

Preferred: run B; penalty for the next structure: 0.046 eV/atom.

Run A
Tl3GaPt after structural relaxation. Source: the Alexandria database, functional PBE.

The structure belongs to space group Pm-3m (No. 221); the cell edges are 5.3480, 5.3480 and 5.3480 Å and the angles 90.00°, 90.00° and 90.00°. The asymmetric unit holds Tl at (0.0000, 0.0000, 0.5000), Ga at (0.5000, 0.5000, 0.5000) and Pt at (0.0000, 0.0000, 0.0000).

Run B
Tl3GaPt after structural relaxation. Source: the Alexandria database, functional PBE.

The structure belongs to space group Pm-3m (No. 221); the cell edges are 5.3058, 5.3058 and 5.3058 Å and the angles 90.00°, 90.00° and 90.00°. The asymmetric unit holds Tl at (0.0000, 0.0000, 0.5000), Ga at (0.0000, 0.0000, 0.0000) and Pt at (0.5000, 0.5000, 0.5000).

Preferred: run A; penalty for the next structure: 0.456 eV/atom.

Run A
TmGa3Pt3 after structural relaxation. Source: the Alexandria database, functional PBE.

The structure belongs to space group R-3 (No. 148, hexagonal axes); the cell edges are 6.8565, 6.8565 and 18.2300 Å and the angles 90.00°, 90.00° and 120.00°. The asymmetric unit holds Tm at (0.0000, 0.0000, 0.1607), Ga at (0.0254, 0.6104, 0.3775) and Pt at (0.0093, 0.7599, 0.5696).

Run B
TmGa3Pt3 after structural relaxation. Source: the Alexandria database, functional PBE.

The structure belongs to space group Pm-3n (No. 223); the cell edges are 6.8199, 6.8199 and 6.8199 Å and the angles 90.00°, 90.00° and 90.00°. The asymmetric unit holds Tm at (0.0000, 0.0000, 0.0000), Ga at (0.0000, 0.2500, 0.5000) and Pt at (0.0000, 0.5000, 0.2500).

Preferred: run A; penalty for the next structure: 0.524 eV/atom.

Run A
TmGaPt3 after structural relaxation. Source: the Alexandria database, functional PBE.

The structure belongs to space group Pmmn (No. 59, origin choice 2); the cell edges are 4.7054, 5.6979 and 6.7934 Å and the angles 90.00°, 90.00° and 90.00°. The asymmetric unit holds Tm at (0.2500, 0.2500, 0.1683), Ga at (0.2500, 0.7500, 0.4373), Pt at (0.2500, 0.0167, 0.7260) and Pt at (0.2500, 0.7500, 0.0796).

Run B
TmGaPt3 after structural relaxation. Source: the Alexandria database, functional PBE.

The structure belongs to space group Pbam (No. 55); the cell edges are 5.8822, 6.6871 and 5.0608 Å and the angles 90.00°, 90.00° and 90.00°. The asymmetric unit holds Tm at (0.0000, 0.0000, 0.0000), Ga at (0.0000, 0.5000, 0.5000), Pt at (0.0000, 0.5000, 0.0000) and Pt at (0.1337, 0.1611, 0.5000).

Preferred: run A; penalty for the next structure: 0.303 eV/atom.

Run A
UGaPt4 after structural relaxation. Source: the Alexandria database, functional PBE.

The structure belongs to space group F-43m (No. 216); the cell edges are 7.5680, 7.5680 and 7.5680 Å and the angles 90.00°, 90.00° and 90.00°. The asymmetric unit holds U at (0.0000, 0.0000, 0.0000), Ga at (0.2500, 0.2500, 0.7500) and Pt at (0.1245, 0.1245, 0.3755).

Run B
UGaPt4 after structural relaxation. Source: the Alexandria database, functional PBE.

The structure belongs to space group C2/c (No. 15); the cell edges are 17.0001, 5.4809 and 4.6257 Å and the angles 90.00°, 105.69° and 90.00°. The asymmetric unit holds U at (0.0000, 0.1732, 0.2500), Ga at (0.2500, 0.2500, 0.0000), Pt at (0.0898, 0.3512, 0.8394) and Pt at (0.1686, 0.1524, 0.4181).

Preferred: run B; penalty for the next structure: 0.011 eV/atom.

Run A
UGa3Pt3 after structural relaxation. Source: the Alexandria database, functional PBE.

The structure belongs to space group R-3 (No. 148, hexagonal axes); the cell edges are 6.8793, 6.8793 and 18.6258 Å and the angles 90.00°, 90.00° and 120.00°. The asymmetric unit holds U at (0.0000, 0.0000, 0.1610), Ga at (0.0304, 0.6137, 0.3748) and Pt at (0.0130, 0.7607, 0.5684).

Run B
UGa3Pt3 after structural relaxation. Source: the Alexandria database, functional PBE.

The structure belongs to space group Pm-3n (No. 223); the cell edges are 6.8334, 6.8334 and 6.8334 Å and the angles 90.00°, 90.00° and 90.00°. The asymmetric unit holds U at (0.0000, 0.0000, 0.0000), Ga at (0.0000, 0.2500, 0.5000) and Pt at (0.0000, 0.5000, 0.2500).

Preferred: run A; penalty for the next structure: 0.433 eV/atom.